# 1
Compound: BeGe2Te
Source: the Alexandria database
Functional: GGA-PBE
Structure: optimized geometry

Geometry as CIF:
```
data_BeGe2Te
_cell_length_a 6.8503
_cell_length_b 6.8503
_cell_length_c 6.8503
_cell_angle_alpha 90.00
_cell_angle_beta 90.00
_cell_angle_gamma 90.00
_symmetry_space_group_name_H-M 'F m -3 m'
_symmetry_Int_Tables_number 225
_symmetry_space_group_name_Hall '-F 4 2 3'
loop_
_atom_site_label
_atom_site_type_symbol
_atom_site_fract_x
_atom_site_fract_y
_atom_site_fract_z
Be1 Be 0.0000 0.0000 0.0000
Ge1 Ge 0.2500 0.2500 0.2500
Te1 Te 0.0000 0.0000 0.5000
```

## Properties
ρ (g/cm³): 5.82
M_tot (μB per formula unit): 0.000
ΔE_f (raw) (meV/atom): 704.1
Distance to the lowest polymorph of the same formula (meV per atom): 537

=====

# 2
Compound: Ag2Te2Se
Source: the Alexandria database
Functional: GGA-PBE
Structure: optimized geometry

Geometry as CIF:
```
data_Ag2Te2Se
_cell_length_a 7.9738
_cell_length_b 7.9738
_cell_length_c 3.9682
_cell_angle_alpha 90.00
_cell_angle_beta 90.00
_cell_angle_gamma 90.00
_symmetry_space_group_name_H-M 'P 4/m b m'
_symmetry_Int_Tables_number 127
_symmetry_space_group_name_Hall '-P 4 2ab'
loop_
_atom_site_label
_atom_site_type_symbol
_atom_site_fract_x
_atom_site_fract_y
_atom_site_fract_z
Ag1 Ag 0.1226 0.3774 0.0000
Te1 Te 0.1910 0.6910 0.5000
Se1 Se 0.0000 0.0000 0.5000
```

## Properties
ρ (g/cm³): 7.24
M_tot (μB per formula unit): 0.000
ΔE_f (raw) (meV/atom): 144.9
Distance to the lowest polymorph of the same formula (meV per atom): 127

=====

# 3
Compound: CrNi4Ir
Source: the Alexandria database
Functional: GGA-PBE
Structure: optimized geometry

Geometry as CIF:
```
data_CrNi4Ir
_cell_length_a 5.0933
_cell_length_b 13.6787
_cell_length_c 4.7763
_cell_angle_alpha 90.00
_cell_angle_beta 121.11
_cell_angle_gamma 90.00
_symmetry_space_group_name_H-M 'C 1 2/c 1'
_symmetry_Int_Tables_number 15
loop_
_symmetry_equiv_pos_as_xyz
'x,y,z'
'-x,-y,-z'
'-x,y,-z+1/2'
'x,-y,z+1/2'
'x+1/2,y+1/2,z'
'-x+1/2,-y+1/2,-z'
'-x+1/2,y+1/2,-z+1/2'
'x+1/2,-y+1/2,z+1/2'
loop_
_atom_site_label
_atom_site_type_symbol
_atom_site_fract_x
_atom_site_fract_y
_atom_site_fract_z
Cr1 Cr 0.0000 0.2192 0.2500
Ni1 Ni 0.2430 0.1164 0.7365
Ni2 Ni 0.2491 0.4439 0.7478
Ir1 Ir 0.0000 0.2840 0.7500
```

## Properties
ρ (g/cm³): 11.17
M_tot (μB per formula unit): 0.000
Distance to the lowest polymorph of the same formula (meV per atom): 33
Energy relative to the elements (eV/atom): 0.05

=====

# 4
Compound: YSbBr2
Source: the Alexandria database
Functional: GGA-PBE
Structure: optimized geometry

Geometry as CIF:
```
data_YSbBr2
_cell_length_a 9.8785
_cell_length_b 9.8785
_cell_length_c 6.2503
_cell_angle_alpha 90.00
_cell_angle_beta 90.00
_cell_angle_gamma 90.00
_symmetry_space_group_name_H-M 'I -4 2 d'
_symmetry_Int_Tables_number 122
_symmetry_space_group_name_Hall 'I -4 2bw'
loop_
_atom_site_label
_atom_site_type_symbol
_atom_site_fract_x
_atom_site_fract_y
_atom_site_fract_z
Y1 Y 0.0000 0.0000 0.0000
Sb1 Sb 0.0000 0.0000 0.5000
Br1 Br 0.1225 0.2500 0.1250
```

## Properties
ρ (g/cm³): 4.03
M_tot (μB per formula unit): 2.000
ΔE_f (raw) (meV/atom): -826.3
Distance to the lowest polymorph of the same formula (meV per atom): 220

=====

# 5
Compound: IrPtPb2O
Source: the Alexandria database
Functional: GGA-PBE
Structure: optimized geometry

Geometry as CIF:
```
data_IrPtPb2O
_cell_length_a 3.4235
_cell_length_b 4.3852
_cell_length_c 13.9386
_cell_angle_alpha 90.00
_cell_angle_beta 90.00
_cell_angle_gamma 90.00
_symmetry_space_group_name_H-M 'I m m 2'
_symmetry_Int_Tables_number 44
loop_
_symmetry_equiv_pos_as_xyz
'x,y,z'
'-x,-y,z'
'-x,y,z'
'x,-y,z'
'x+1/2,y+1/2,z+1/2'
'-x+1/2,-y+1/2,z+1/2'
'-x+1/2,y+1/2,z+1/2'
'x+1/2,-y+1/2,z+1/2'
loop_
_atom_site_label
_atom_site_type_symbol
_atom_site_fract_x
_atom_site_fract_y
_atom_site_fract_z
Ir1 Ir 0.0000 0.0000 0.0000
Pt1 Pt 0.0000 0.5000 0.6504
Pb1 Pb 0.0000 0.0000 0.4991
Pb2 Pb 0.0000 0.5000 0.2412
O1 O 0.0000 0.0000 0.8543
```

## Properties
ρ (g/cm³): 12.98
M_tot (μB per formula unit): 0.001
ΔE_f (raw) (meV/atom): -35.2
Distance to the lowest polymorph of the same formula (meV per atom): 133